Material: NaTlS2
Method: DFT, PBE
State: relaxed

Computed properties:
Total magnetization in μB/f.u.: 0.000
Symmetry: No. 1
DFT total energy in eV/atom: -3.487

Geometry as extended XYZ:
```
8
Lattice="4.7900 0.0000 0.0000 -1.6341 6.7480 0.0000 -2.3364 -1.6360 6.8026" Properties=species:S:1:pos:R:3 pbc="T T T"
Na 0.0000 0.0000 0.0000
Na 0.7946 3.9598 0.1987
Tl -1.7112 2.7646 3.0530
Tl 0.1430 -0.1459 3.8446
S 2.3753 -0.2330 1.5865
S 0.7751 4.8585 2.9228
S 0.8640 2.5485 5.4754
S 0.8601 0.8122 6.7262
```

=====

Material: NaYI2O
Method: DFT, PBE
State: relaxed

Computed properties:
Total magnetization in μB/f.u.: 0.000
Symmetry: No. 123
Energy above the most stable polymorph in this dataset in eV per atom: 0.000

Geometry as extended XYZ:
```
5
Lattice="6.2678 0.0000 0.0000 0.0000 6.2678 0.0000 0.0000 0.0000 4.2270" Properties=species:S:1:pos:R:3 pbc="T T T"
Na 0.0000 0.0000 0.0000
Y 3.1339 3.1339 2.1135
I 0.0000 3.1339 2.1135
I 3.1339 0.0000 2.1135
O 3.1339 3.1339 0.0000
```

=====

Material: CsCaNb
Method: DFT, PBE
State: relaxed

Computed properties:
Total magnetization in μB/f.u.: 3.089
Formation enthalpy at 0 K in meV/atom: 1357
Symmetry: No. 187
Energy above the most stable polymorph in this dataset in eV per atom: 0.958

Geometry as extended XYZ:
```
3
Lattice="6.1360 0.0000 0.0000 -3.0680 5.3140 0.0000 0.0000 0.0000 3.3982" Properties=species:S:1:pos:R:3 pbc="T T T"
Cs 0.0000 0.0000 0.0000
Ca 0.0000 3.5427 1.6991
Nb 3.0680 1.7713 1.6991
```

=====

Material: ZrVNi
Method: DFT, PBE
State: relaxed

Computed properties:
Total magnetization in μB/f.u.: 0.061
Formation enthalpy at 0 K in meV/atom: -113
Symmetry: No. 46
Energy above the most stable polymorph in this dataset in eV per atom: 0.129

Geometry as extended XYZ:
```
12
Lattice="4.1879 0.0000 0.0000 0.0000 7.2941 0.0000 0.0000 0.0000 6.2579" Properties=species:S:1:pos:R:3 pbc="T T T"
Zr 1.0470 1.3371 0.0000
Zr 1.0470 2.3099 3.1290
Zr 3.1409 4.9842 3.1290
Zr 3.1409 5.9570 0.0000
V 1.0470 4.3229 5.1214
V 1.0470 6.6182 1.9924
V 3.1409 0.6759 1.9924
V 3.1409 2.9712 5.1214
Ni 1.0470 4.3073 1.1941
Ni 1.0470 6.6339 4.3230
Ni 3.1409 0.6602 4.3230
Ni 3.1409 2.9868 1.1941
```

=====

Material: HfSe2NO
Method: DFT, PBE
State: relaxed

Computed properties:
Total magnetization in μB/f.u.: 0.000
Symmetry: No. 123
Energy above the most stable polymorph in this dataset in eV per atom: 0.073

Geometry as extended XYZ:
```
5
Lattice="4.2718 0.0000 0.0000 0.0000 4.2718 0.0000 0.0000 0.0000 4.0120" Properties=species:S:1:pos:R:3 pbc="T T T"
Hf 0.0000 0.0000 0.0000
Se 0.0000 2.1359 2.0060
Se 2.1359 0.0000 2.0060
N 2.1359 2.1359 0.0000
O 2.1359 2.1359 2.0060
```

=====

Material: SrMnTcP2
Method: DFT, PBE
State: relaxed

Computed properties:
Total magnetization in μB/f.u.: 0.372
Formation enthalpy at 0 K in meV/atom: 329
Symmetry: No. 123
Energy above the most stable polymorph in this dataset in eV per atom: 1.103

Geometry as extended XYZ:
```
5
Lattice="4.5104 0.0000 0.0000 0.0000 4.5104 0.0000 0.0000 0.0000 4.6721" Properties=species:S:1:pos:R:3 pbc="T T T"
Sr 0.0000 0.0000 0.0000
Mn 2.2552 2.2552 2.3361
Tc 2.2552 2.2552 0.0000
P 0.0000 2.2552 2.3361
P 2.2552 0.0000 2.3361
```

=====

Material: In2TcSn2
Method: DFT, PBE
State: relaxed

Computed properties:
Total magnetization in μB/f.u.: 1.489
Formation enthalpy at 0 K in meV/atom: 416
Symmetry: No. 127

Geometry as extended XYZ:
```
10
Lattice="7.1825 0.0000 0.0000 0.0000 7.1825 0.0000 0.0000 0.0000 4.7502" Properties=species:S:1:pos:R:3 pbc="T T T"
In 1.2034 2.3879 0.0000
In 2.3879 5.9792 0.0000
In 4.7947 1.2034 0.0000
In 5.9792 4.7947 0.0000
Tc 0.0000 0.0000 2.3751
Tc 3.5913 3.5913 2.3751
Sn 1.0796 4.6708 2.3751
Sn 2.5117 1.0796 2.3751
Sn 4.6708 6.1030 2.3751
Sn 6.1030 2.5117 2.3751
```

=====

Material: ScNiW2
Method: DFT, PBE
State: relaxed

Computed properties:
Total magnetization in μB/f.u.: 0.000
Formation enthalpy at 0 K in meV/atom: 99
Symmetry: No. 71
Energy above the most stable polymorph in this dataset in eV per atom: 0.035

Geometry as extended XYZ:
```
8
Lattice="3.0551 0.0000 0.0000 0.0000 4.4158 0.0000 0.0000 0.0000 9.5666" Properties=species:S:1:pos:R:3 pbc="T T T"
Sc 0.0000 0.0000 0.0000
Sc 1.5276 2.2079 4.7833
Ni 0.0000 0.0000 4.7833
Ni 1.5276 2.2079 0.0000
W 0.0000 2.2079 2.2132
W 0.0000 2.2079 7.3535
W 1.5276 0.0000 2.5702
W 1.5276 0.0000 6.9965
```

=====

Look up the total magnetization of the fourth one. 0.061 μB/f.u.

=====

What is the formula in the fourth record? ZrVNi